# ScFe2Cl

ScFe2Cl after structural relaxation (PBE, Alexandria via LeMat-Bulk).

Values from the calculation:
Total moment = 4.47 μB per cell
Space group = Immm, No. 71
Distance to the lowest polymorph of the same formula = 267 meV per atom
ΔE_f (raw) = 0.00 eV per atom

a = 5.5917 Å, b = 5.5917 Å, c = 5.5917 Å
α = 149.19°, β = 136.00°, γ = 54.68°
Element x y z (fractional)
1 Sc 0.0000 0.0000 0.0000
2 Fe 0.2525 0.7525 0.5000
3 Fe 0.7475 0.2475 0.5000
4 Cl 0.5000 0.5000 0.0000

=====

# ScFeCl2

ScFeCl2 after structural relaxation (PBE, Alexandria via LeMat-Bulk).

Values from the calculation:
Total moment = 2.91 μB per cell
Space group = I4/mmm, No. 139
Distance to the lowest polymorph of the same formula = 589 meV per atom
ΔE_f (raw) = -0.30 eV per atom

a = 4.7656 Å, b = 4.7656 Å, c = 4.7656 Å
α = 125.82°, β = 125.82°, γ = 80.18°
Element x y z (fractional)
1 Sc 0.0000 0.0000 0.0000
2 Fe 0.5000 0.5000 0.0000
3 Cl 0.2500 0.7500 0.5000
4 Cl 0.7500 0.2500 0.5000

=====

# ScFeCl2

ScFeCl2 after structural relaxation (PBE, Alexandria via LeMat-Bulk).

Values from the calculation:
Total moment = 2.83 μB per cell
Space group = P4mm, No. 99
Distance to the lowest polymorph of the same formula = 142 meV per atom
ΔE_f (raw) = -0.75 eV per atom

a = 3.1615 Å, b = 3.1615 Å, c = 8.3235 Å
α = 90.00°, β = 90.00°, γ = 90.00°
Element x y z (fractional)
1 Sc 0.0000 0.0000 0.0000
2 Fe 0.5000 0.5000 0.7680
3 Cl 0.0000 0.0000 0.6208
4 Cl 0.5000 0.5000 0.1894

=====

# ScFe4Cl

ScFe4Cl after structural relaxation (PBE, Alexandria via LeMat-Bulk).

Values from the calculation:
Total moment = 9.79 μB per cell
Space group = F-43m, No. 216
ΔE_f (raw) = 0.23 eV per atom

a = 5.0214 Å, b = 5.0214 Å, c = 5.0214 Å
α = 60.00°, β = 60.00°, γ = 60.00°
Element x y z (fractional)
1 Sc 0.0000 0.0000 0.0000
2 Fe 0.3727 0.3727 0.3727
3 Fe 0.3727 0.3727 0.8820
4 Fe 0.3727 0.8820 0.3727
5 Fe 0.8820 0.3727 0.3727
6 Cl 0.7500 0.7500 0.7500

=====

# ScFe3Cl

ScFe3Cl after structural relaxation (PBE, Alexandria via LeMat-Bulk).

Values from the calculation:
Total moment = 7.05 μB per cell
Space group = Pm-3m, No. 221
Distance to the lowest polymorph of the same formula = 1071 meV per atom
ΔE_f (raw) = 1.52 eV per atom

a = 4.6681 Å, b = 4.6681 Å, c = 4.6681 Å
α = 90.00°, β = 90.00°, γ = 90.00°
Element x y z (fractional)
1 Sc 0.0000 0.0000 0.0000
2 Fe 0.0000 0.0000 0.5000
3 Fe 0.0000 0.5000 0.0000
4 Fe 0.5000 0.0000 0.0000
5 Cl 0.5000 0.5000 0.5000

=====

# Sc3FeCl

Sc3FeCl after structural relaxation (PBE, Alexandria via LeMat-Bulk).

Values from the calculation:
Total moment = 0.00 μB per cell
Space group = Pm-3m, No. 221
Distance to the lowest polymorph of the same formula = 0 meV per atom
ΔE_f (raw) = -0.07 eV per atom

a = 4.8837 Å, b = 4.8837 Å, c = 4.8837 Å
α = 90.00°, β = 90.00°, γ = 90.00°
Element x y z (fractional)
1 Sc 0.0000 0.0000 0.5000
2 Sc 0.0000 0.5000 0.0000
3 Sc 0.5000 0.0000 0.0000
4 Fe 0.0000 0.0000 0.0000
5 Cl 0.5000 0.5000 0.5000

=====

# ScFe2Cl

ScFe2Cl after structural relaxation (PBE, Alexandria via LeMat-Bulk).

Values from the calculation:
Total moment = 5.12 μB per cell
Space group = Immm, No. 71
Distance to the lowest polymorph of the same formula = 160 meV per atom
ΔE_f (raw) = -0.11 eV per atom

a = 5.7895 Å, b = 5.7895 Å, c = 5.7895 Å
α = 148.71°, β = 140.79°, γ = 51.00°
Element x y z (fractional)
1 Sc 0.0000 0.0000 0.0000
2 Fe 0.2748 0.2748 0.0000
3 Fe 0.7252 0.7252 0.0000
4 Cl 0.5000 0.5000 0.0000

=====

# ScFe2Cl

ScFe2Cl after structural relaxation (PBE, Alexandria via LeMat-Bulk).

Values from the calculation:
Total moment = 0.53 μB per cell
Space group = P3m1, No. 156
Distance to the lowest polymorph of the same formula = 27 meV per atom
ΔE_f (raw) = -0.24 eV per atom

a = 3.5593 Å, b = 3.5593 Å, c = 6.2984 Å
α = 90.00°, β = 90.00°, γ = 120.00°
Element x y z (fractional)
1 Sc 0.0000 0.0000 0.0000
2 Fe 0.3333 0.6667 0.6513
3 Fe 0.6667 0.3333 0.7464
4 Cl 0.3333 0.6667 0.2791

=====

# ScFeCl2

ScFeCl2 after structural relaxation (PBE, Alexandria via LeMat-Bulk).

Values from the calculation:
Total moment = 2.84 μB per cell
Space group = R-3m, No. 166
Distance to the lowest polymorph of the same formula = 357 meV per atom
ΔE_f (raw) = -0.53 eV per atom

a = 10.2350 Å, b = 10.2350 Å, c = 10.2350 Å
α = 18.35°, β = 18.35°, γ = 18.35°
Element x y z (fractional)
1 Sc 0.0000 0.0000 0.0000
2 Fe 0.5000 0.5000 0.5000
3 Cl 0.2770 0.2770 0.2770
4 Cl 0.7230 0.7230 0.7230

=====

# ScFe2Cl

ScFe2Cl after structural relaxation (PBE, Alexandria via LeMat-Bulk).

Values from the calculation:
Total moment = 4.07 μB per cell
Space group = P4/mmm, No. 123
Distance to the lowest polymorph of the same formula = 396 meV per atom
ΔE_f (raw) = 0.13 eV per atom

a = 3.5111 Å, b = 3.5111 Å, c = 5.4514 Å
α = 90.00°, β = 90.00°, γ = 90.00°
Element x y z (fractional)
1 Sc 0.0000 0.0000 0.0000
2 Fe 0.5000 0.5000 0.2062
3 Fe 0.5000 0.5000 0.7938
4 Cl 0.0000 0.0000 0.5000

=====

# ScFe2Cl

ScFe2Cl after structural relaxation (PBE, Alexandria via LeMat-Bulk).

Values from the calculation:
Total moment = 4.42 μB per cell
Space group = Amm2, No. 38
Distance to the lowest polymorph of the same formula = 0 meV per atom
ΔE_f (raw) = -0.27 eV per atom

a = 3.0440 Å, b = 7.2607 Å, c = 7.2607 Å
α = 24.66°, β = 90.00°, γ = 90.00°
Element x y z (fractional)
1 Sc 0.0000 0.0000 0.0000
2 Fe 0.0000 0.2023 0.2023
3 Fe 0.5000 0.6224 0.6224
4 Cl 0.5000 0.3777 0.3777

=====

# ScFe2Cl

ScFe2Cl after structural relaxation (PBE, Alexandria via LeMat-Bulk).

Values from the calculation:
Total moment = 5.69 μB per cell
Space group = P4/mmm, No. 123
Distance to the lowest polymorph of the same formula = 515 meV per atom
ΔE_f (raw) = 0.25 eV per atom

a = 2.9599 Å, b = 2.9599 Å, c = 7.6342 Å
α = 90.00°, β = 90.00°, γ = 90.00°
Element x y z (fractional)
1 Sc 0.0000 0.0000 0.0000
2 Fe 0.5000 0.5000 0.2669
3 Fe 0.5000 0.5000 0.7331
4 Cl 0.0000 0.0000 0.5000

=====

# ScFeCl2

ScFeCl2 after structural relaxation (PBE, Alexandria via LeMat-Bulk).

Values from the calculation:
Total moment = 3.50 μB per cell
Space group = P4/mmm, No. 123
Distance to the lowest polymorph of the same formula = 436 meV per atom
ΔE_f (raw) = -0.46 eV per atom

a = 3.1077 Å, b = 3.1077 Å, c = 10.1053 Å
α = 90.00°, β = 90.00°, γ = 90.00°
Element x y z (fractional)
1 Sc 0.0000 0.0000 0.0000
2 Fe 0.0000 0.0000 0.5000
3 Cl 0.5000 0.5000 0.1524
4 Cl 0.5000 0.5000 0.8476

=====

# ScFeCl2

ScFeCl2 after structural relaxation (PBE, Alexandria via LeMat-Bulk).

Values from the calculation:
Total moment = 1.51 μB per cell
Space group = Immm, No. 71
Distance to the lowest polymorph of the same formula = 170 meV per atom
ΔE_f (raw) = -0.72 eV per atom

a = 7.0379 Å, b = 7.0379 Å, c = 7.0379 Å
α = 150.14°, β = 147.59°, γ = 44.64°
Element x y z (fractional)
1 Sc 0.0000 0.0000 0.0000
2 Fe 0.5000 0.5000 0.0000
3 Cl 0.3699 0.8699 0.5000
4 Cl 0.6301 0.1301 0.5000

=====

Number 1: D(E_F) 3.22 states/eV per cell, calculated volume 62 Å³ per cell, VASP energy -6.276 eV per atom. Number 2: D(E_F) 4.43 states/eV per cell, calculated volume 69 Å³ per cell, VASP energy -4.925 eV per atom. Number 3: D(E_F) 2.35 states/eV per cell, calculated volume 83 Å³ per cell, VASP energy -5.371 eV per atom. Number 4: D(E_F) 5.95 states/eV per cell, calculated volume 90 Å³ per cell, VASP energy -6.778 eV per atom. Number 5: D(E_F) 6.61 states/eV per cell, calculated volume 102 Å³ per cell, VASP energy -5.191 eV per atom. Number 6: D(E_F) 7.03 states/eV per cell, calculated volume 116 Å³ per cell, VASP energy -5.931 eV per atom. Number 7: D(E_F) 2.64 states/eV per cell, calculated volume 63 Å³ per cell, VASP energy -6.384 eV per atom. Number 8: D(E_F) 3.96 states/eV per cell, calculated volume 69 Å³ per cell, VASP energy -6.517 eV per atom. Number 9: D(E_F) 6.01 states/eV per cell, calculated volume 93 Å³ per cell, VASP energy -5.157 eV per atom. Number 10: D(E_F) 4.22 states/eV per cell, calculated volume 67 Å³ per cell, VASP energy -6.148 eV per atom. Number 11: D(E_F) 3.34 states/eV per cell, calculated volume 67 Å³ per cell, VASP energy -6.544 eV per atom. Number 12: D(E_F) 4.93 states/eV per cell, calculated volume 67 Å³ per cell, VASP energy -6.029 eV per atom. Number 13: D(E_F) 5.69 states/eV per cell, calculated volume 98 Å³ per cell, VASP energy -5.077 eV per atom. Number 14: D(E_F) 2.19 states/eV per cell, calculated volume 93 Å³ per cell, VASP energy -5.343 eV per atom.